Ca4ZnCr | GGA-PBE | relaxed

Properties
- DOS at the Fermi energy (states/eV/f.u.) = 5.8
- volume (Å³/f.u.) = 207
- formation enthalpy at 0 K (eV/atom) = 0.7066

Cell: 6.644 6.644 6.644 Å, 60.00 60.00 60.00°
Sites, in units of the cell vectors:
Ca: 0.125 0.125 0.125
Ca: 0.125 0.125 0.625
Ca: 0.125 0.625 0.125
Ca: 0.625 0.125 0.125
Zn: 0.500 0.500 0.500
Cr: 0.750 0.750 0.750